DFT (GGA-PBE) results for an optimized crystal structure of Ca2ZrFe. Values from VASP.

* DOS(E_F): 5.18 states/eV per cell
* total moment: 0.74 μB/atom
* formation enthalpy at 0 K: 0.5464 eV per atom
* space group: P4/mmm
* crystal system: tetragonal

```
&SYSTEM
  ibrav = 0, nat = 4, ntyp = 3
/
ATOMIC_SPECIES
Zr 91.22 Zr.upf
Fe 55.84 Fe.upf
Ca 40.08 Ca.upf
CELL_PARAMETERS angstrom
3.233 0.000 0.000
0.000 3.233 0.000
0.000 0.000 9.607
ATOMIC_POSITIONS crystal
Zr 0.500 0.500 0.750
Fe 0.500 0.500 0.250
Ca 0.000 0.000 0.036
Ca 0.000 0.000 0.464
```